[1]
PBE SmHo2Cu9, optimized geometry; magnetization = 0.0 μB per formula unit; ΔE_f = -0.199 eV/atom
1.0
4.969 0.000 1.479
2.265 4.423 1.479
0.085 0.052 8.801
Cu Ho Sm
9 2 1
Direct
0.083 0.582 0.752
0.332 0.332 0.003
0.668 0.668 0.997
0.418 0.917 0.248
0.582 0.582 0.752
0.418 0.418 0.248
0.917 0.418 0.248
0.500 0.500 0.500
0.582 0.083 0.752
0.857 0.857 0.428
0.143 0.143 0.572
0.000 0.000 0.000



[2]
PBE Pm4SiHgSe2, optimized geometry; magnetization = 0.0 μB per formula unit
1.0
4.225 0.000 0.000
0.000 7.213 0.120
0.000 -2.530 7.177
Hg Si Se Pm
1 1 2 4
Direct
0.500 0.500 0.000
0.000 0.000 0.000
0.000 0.500 0.500
0.500 0.000 0.500
0.500 0.764 0.752
0.500 0.236 0.248
0.000 0.236 0.737
0.000 0.764 0.263



[3]
PBE Rb2Na2P, optimized geometry; magnetization = 0.0 μB per formula unit; ΔE_f = -0.163 eV/atom
1.0
-3.462 2.251 -2.690
-4.279 -2.271 -0.909
-6.710 4.229 7.659
Rb P Na
2 1 2
Direct
0.572 0.572 0.284
0.428 0.428 0.716
0.000 0.000 0.000
0.315 0.315 0.054
0.685 0.685 0.946



Summary of VASP energy in eV per atom
-4.427 -5.157 -2.160
(order as listed above)